# 1
! GGA-PBE Ce5PrPb6, optimized geometry; values from VASP
&SYSTEM
  ibrav = 0, nat = 12, ntyp = 3
/
ATOMIC_SPECIES
Ce 140.12 Ce.upf
Pr 140.91 Pr.upf
Pb 207.20 Pb.upf
ATOMIC_POSITIONS crystal
Ce 0.5000 0.1637 0.6726
Ce 0.0000 0.3325 0.3350
Ce 0.5000 0.5000 0.0000
Ce 0.0000 0.6675 0.6650
Ce 0.5000 0.8363 0.3274
Pr 0.0000 0.0000 0.0000
Pb 0.7449 0.0854 0.3393
Pb 0.2551 0.5753 0.3393
Pb 0.2510 0.2565 0.0000
Pb 0.7490 0.7435 0.0000
Pb 0.7449 0.4247 0.6607
Pb 0.2551 0.9146 0.6607
CELL_PARAMETERS angstrom
-4.4279 2.9865 -5.8215
-7.2226 -3.1649 0.2911
-5.6571 3.4677 4.2924
! - Space-group type: C2/m
! - Spin magnetization: 0.93 Bohr magnetons per cell
! - Total DFT energy (no corrections): -0.185 hartree per atom
! - Polymorph energy (0 for the lowest one): 102 meV per atom
! - Calculated volume: 402 Å³/cell


# 2
! GGA-PBE SrTa2Ru2, optimized geometry; values from VASP
&SYSTEM
  ibrav = 0, nat = 5, ntyp = 3
/
ATOMIC_SPECIES
Ru 101.07 Ru.upf
Sr 87.62 Sr.upf
Ta 180.95 Ta.upf
ATOMIC_POSITIONS crystal
Ru 0.3745 0.3745 0.2510
Ru 0.6255 0.6255 0.7490
Sr 0.0000 0.0000 0.0000
Ta 0.7500 0.2500 0.5000
Ta 0.2500 0.7500 0.5000
CELL_PARAMETERS angstrom
-0.2870 1.4684 -4.0839
0.6810 -4.0269 -1.4957
-5.4189 -2.2464 -2.7429
! - Space-group type: I4/mmm
! - Spin magnetization: 0.00 Bohr magnetons per cell
! - Total DFT energy (no corrections): -0.327 hartree per atom
! - Polymorph energy (0 for the lowest one): 0 meV per atom
! - Calculated volume: 108 Å³/cell


# 3
! GGA-PBE CsNa10Ag2, optimized geometry; values from VASP
&SYSTEM
  ibrav = 0, nat = 26, ntyp = 3
/
ATOMIC_SPECIES
Cs 132.91 Cs.upf
Na 22.99 Na.upf
Ag 107.87 Ag.upf
ATOMIC_POSITIONS crystal
Cs 0.8741 0.1259 0.7500
Cs 0.1259 0.8741 0.2500
Na 0.4090 0.1161 0.7500
Na 0.5910 0.8839 0.2500
Na 0.8839 0.5910 0.7500
Na 0.1161 0.4090 0.2500
Na 0.5255 0.7690 0.7500
Na 0.4745 0.2310 0.2500
Na 0.2310 0.4745 0.7500
Na 0.7690 0.5255 0.2500
Na 0.8273 0.1727 0.4080
Na 0.1727 0.8273 0.9080
Na 0.8273 0.1727 0.0920
Na 0.1727 0.8273 0.5920
Na 0.6168 0.3832 0.9423
Na 0.3832 0.6168 0.4423
Na 0.6168 0.3832 0.5577
Na 0.3832 0.6168 0.0577
Na 0.7736 0.7736 0.0000
Na 0.2264 0.2264 0.5000
Na 0.2264 0.2264 0.0000
Na 0.7736 0.7736 0.5000
Ag 0.5000 0.0000 0.0000
Ag 0.5000 0.0000 0.5000
Ag 0.0000 0.5000 0.5000
Ag 0.0000 0.5000 0.0000
CELL_PARAMETERS angstrom
-5.0851 -0.1690 -7.3380
-2.8613 -7.5428 3.8278
-8.1427 5.8837 5.5072
! - Space-group type: Cmcm
! - Spin magnetization: 0.00 Bohr magnetons per cell
! - Total DFT energy (no corrections): -0.055 hartree per atom
! - Calculated volume: 903 Å³/cell


# 4
! GGA-PBE Nd2MnP3Ir4, optimized geometry; values from VASP
&SYSTEM
  ibrav = 0, nat = 10, ntyp = 4
/
ATOMIC_SPECIES
Nd 144.24 Nd.upf
Mn 54.94 Mn.upf
P 30.97 P.upf
Ir 192.22 Ir.upf
ATOMIC_POSITIONS crystal
Nd 0.5000 0.0000 0.2538
Nd 0.0000 0.5000 0.7462
Mn 0.5000 0.5000 0.5000
P 0.0000 0.0000 0.5000
P 0.5000 0.0000 0.8620
P 0.0000 0.5000 0.1380
Ir 0.5000 0.5000 0.0000
Ir 0.0000 0.0000 0.0000
Ir 0.5000 0.0000 0.6267
Ir 0.0000 0.5000 0.3733
CELL_PARAMETERS angstrom
-4.0597 -0.6423 0.2689
0.6926 -3.5614 1.9500
-0.1725 4.7417 8.7211
! - Space-group type: P-4m2
! - Spin magnetization: 1.86 Bohr magnetons per cell
! - Total DFT energy (no corrections): -0.290 hartree per atom
! - Calculated volume: 168 Å³/cell


# 5
! GGA-PBE Ga3CuN, optimized geometry; values from VASP
&SYSTEM
  ibrav = 0, nat = 5, ntyp = 3
/
ATOMIC_SPECIES
Cu 63.55 Cu.upf
Ga 69.72 Ga.upf
N 14.01 N.upf
ATOMIC_POSITIONS crystal
Cu 0.5000 0.5000 0.5000
Ga 0.0000 0.5000 0.0000
Ga 0.0000 0.0000 0.5000
Ga 0.5000 0.0000 0.0000
N 0.0000 0.0000 0.0000
CELL_PARAMETERS angstrom
4.2708 0.0000 0.0000
0.0000 4.2708 0.0000
0.0000 0.0000 4.2708
! - Space-group type: Pm-3m
! - Spin magnetization: 0.00 Bohr magnetons per cell
! - Total DFT energy (no corrections): -0.138 hartree per atom
! - Polymorph energy (0 for the lowest one): 0 meV per atom
! - ΔE_f (raw): 0.534 eV per atom
! - Calculated volume: 78 Å³/cell


# 6
! GGA-PBE ZrReRu2, optimized geometry; values from VASP
&SYSTEM
  ibrav = 0, nat = 8, ntyp = 3
/
ATOMIC_SPECIES
Re 186.21 Re.upf
Zr 91.22 Zr.upf
Ru 101.07 Ru.upf
ATOMIC_POSITIONS crystal
Re 0.0000 0.0000 0.0000
Re 0.7500 0.2500 0.5000
Zr 0.5000 0.5000 0.0000
Zr 0.2500 0.7500 0.5000
Ru 0.6660 0.1250 0.2500
Ru 0.0840 0.6250 0.2500
Ru 0.3750 0.3340 0.7500
Ru 0.8750 0.9160 0.7500
CELL_PARAMETERS angstrom
7.1851 0.0000 0.0000
0.0000 7.1851 0.0000
3.5926 3.5926 2.7576
! - Space-group type: I-42d
! - Spin magnetization: 0.00 Bohr magnetons per cell
! - Total DFT energy (no corrections): -0.350 hartree per atom
! - Polymorph energy (0 for the lowest one): 455 meV per atom
! - Calculated volume: 142 Å³/cell


# 7
! GGA-PBE CsFe3Ir, optimized geometry; values from VASP
&SYSTEM
  ibrav = 0, nat = 5, ntyp = 3
/
ATOMIC_SPECIES
Cs 132.91 Cs.upf
Ir 192.22 Ir.upf
Fe 55.84 Fe.upf
ATOMIC_POSITIONS crystal
Cs 0.0000 0.0000 0.0000
Ir 0.5000 0.5000 0.5000
Fe 0.0000 0.5000 0.0000
Fe 0.0000 0.0000 0.5000
Fe 0.5000 0.0000 0.0000
CELL_PARAMETERS angstrom
4.6655 0.0000 0.0000
0.0000 4.6655 0.0000
0.0000 0.0000 4.6655
! - Space-group type: Pm-3m
! - Spin magnetization: 7.97 Bohr magnetons per cell
! - Total DFT energy (no corrections): -0.153 hartree per atom
! - Calculated volume: 102 Å³/cell


# 8
! GGA-PBE Y2TaSnGe, optimized geometry; values from VASP
&SYSTEM
  ibrav = 0, nat = 5, ntyp = 4
/
ATOMIC_SPECIES
Y 88.91 Y.upf
Ge 72.64 Ge.upf
Sn 118.71 Sn.upf
Ta 180.95 Ta.upf
ATOMIC_POSITIONS crystal
Y 0.0000 0.0000 0.5000
Y 0.5000 0.0000 0.0000
Ge 0.0000 0.0000 0.0000
Sn 0.0000 0.5000 0.0000
Ta 0.5000 0.5000 0.5000
CELL_PARAMETERS angstrom
5.3040 0.0000 0.0000
0.0000 5.0619 0.0000
0.0000 0.0000 5.3040
! - Space-group type: P4/mmm
! - Spin magnetization: 0.00 Bohr magnetons per cell
! - Total DFT energy (no corrections): -0.219 hartree per atom
! - Calculated volume: 142 Å³/cell


# 9
! GGA-PBE TbHo2Ir3, optimized geometry; values from VASP
&SYSTEM
  ibrav = 0, nat = 6, ntyp = 3
/
ATOMIC_SPECIES
Tb 158.93 Tb.upf
Ho 164.93 Ho.upf
Ir 192.22 Ir.upf
ATOMIC_POSITIONS crystal
Tb 0.0000 0.0000 0.0000
Ho 0.6667 0.3333 0.3339
Ho 0.3333 0.6667 0.6661
Ir 0.0000 0.0000 0.5000
Ir 0.6667 0.3333 0.8312
Ir 0.3333 0.6667 0.1688
CELL_PARAMETERS angstrom
4.8424 0.0000 0.0000
-2.4212 4.1937 0.0000
0.0000 0.0000 5.9257
! - Space-group type: P-3m1
! - Spin magnetization: 0.00 Bohr magnetons per cell
! - Total DFT energy (no corrections): -0.278 hartree per atom
! - Calculated volume: 120 Å³/cell


# 10
! GGA-PBE ErIn5Co, optimized geometry; values from VASP
&SYSTEM
  ibrav = 0, nat = 7, ntyp = 3
/
ATOMIC_SPECIES
Er 167.26 Er.upf
In 114.82 In.upf
Co 58.93 Co.upf
ATOMIC_POSITIONS crystal
Er 0.0000 0.0000 0.0000
In 0.5000 0.5000 0.0000
In 0.5000 0.0000 0.6948
In 0.0000 0.5000 0.3052
In 0.5000 0.0000 0.3052
In 0.0000 0.5000 0.6948
Co 0.0000 0.0000 0.5000
CELL_PARAMETERS angstrom
-0.1569 4.0213 -2.1672
-4.1708 -1.0105 -1.5731
-3.0448 3.1436 6.0535
! - Space-group type: P4/mmm
! - Spin magnetization: 0.00 Bohr magnetons per cell
! - Total DFT energy (no corrections): -0.141 hartree per atom
! - Calculated volume: 156 Å³/cell


# 11
! GGA-PBE MgTlSnHg, optimized geometry; values from VASP
&SYSTEM
  ibrav = 0, nat = 4, ntyp = 4
/
ATOMIC_SPECIES
Mg 24.30 Mg.upf
Tl 204.38 Tl.upf
Sn 118.71 Sn.upf
Hg 200.59 Hg.upf
ATOMIC_POSITIONS crystal
Mg 0.0000 0.0000 0.5801
Tl 0.0000 0.0000 0.0652
Sn 0.5000 0.5000 0.3534
Hg 0.5000 0.5000 0.7859
CELL_PARAMETERS angstrom
-0.2169 -1.5186 2.9917
2.4008 -2.1645 -0.9246
6.4110 5.6805 3.3481
! - Space-group type: P4mm
! - Spin magnetization: 0.00 Bohr magnetons per cell
! - Total DFT energy (no corrections): -0.078 hartree per atom
! - Polymorph energy (0 for the lowest one): 0 meV per atom
! - Calculated volume: 104 Å³/cell


# 12
! GGA-PBE Nd4TlGe, optimized geometry; values from VASP
&SYSTEM
  ibrav = 0, nat = 12, ntyp = 3
/
ATOMIC_SPECIES
Nd 144.24 Nd.upf
Tl 204.38 Tl.upf
Ge 72.64 Ge.upf
ATOMIC_POSITIONS crystal
Nd 0.5975 0.2500 0.4501
Nd 0.4025 0.7500 0.5499
Nd 0.7051 0.2500 0.8536
Nd 0.2949 0.7500 0.1464
Nd 0.8805 0.0105 0.2404
Nd 0.1195 0.5105 0.7596
Nd 0.8805 0.4895 0.2404
Nd 0.1195 0.9895 0.7596
Tl 0.3107 0.2500 0.0828
Tl 0.6893 0.7500 0.9172
Ge 0.1998 0.2500 0.5390
Ge 0.8002 0.7500 0.4610
CELL_PARAMETERS angstrom
-3.9274 3.4135 -3.2300
-3.8345 0.9001 5.6137
7.7789 4.3686 4.6129
! - Space-group type: P2_1/m
! - Spin magnetization: 0.00 Bohr magnetons per cell
! - Total DFT energy (no corrections): -0.175 hartree per atom
! - Polymorph energy (0 for the lowest one): 0 meV per atom
! - Calculated volume: 366 Å³/cell